Entry 1:
Material: ScAg2F2
Method: DFT, PBE-GGA
State: relaxed

The structure belongs to space group P4/mbm (No. 127); the cell edges are 5.5017, 5.5017 and 5.8978 Å and the angles 90.00°, 90.00° and 90.00°. The distinct sites, in fractional coordinates, are Sc at (0.0000, 0.0000, 0.0000), Ag at (0.1883, 0.3117, 0.5000) and F at (0.1862, 0.6862, 0.0000).

As for the total energy: -5.004 eV/atom. The calculation puts the excess energy over the best structure of this formula in the dataset at 0.00 eV/f.u. Its formation energy from raw total energies is -1.849 eV/atom.

Entry 2:
Material: Sc3AgF
Method: DFT, PBE-GGA
State: relaxed

The structure belongs to space group Pm-3m (No. 221); the cell edges are 4.4893, 4.4893 and 4.4893 Å and the angles 90.00°, 90.00° and 90.00°. The distinct sites, in fractional coordinates, are Sc at (0.0000, 0.0000, 0.5000), Ag at (0.5000, 0.5000, 0.5000) and F at (0.0000, 0.0000, 0.0000).

As for the total energy: -5.659 eV/atom. The calculation puts the excess energy over the best structure of this formula in the dataset at 0.00 eV/f.u. Its formation energy from raw total energies is -0.916 eV/atom.

Entry 3:
Material: Sc2AgF
Method: DFT, PBE-GGA
State: relaxed

The structure belongs to space group I-42d (No. 122); the cell edges are 6.5610, 6.5610 and 7.0074 Å and the angles 90.00°, 90.00° and 90.00°. The distinct sites, in fractional coordinates, are Sc at (0.1696, 0.2500, 0.1250), Ag at (0.0000, 0.0000, 0.5000) and F at (0.0000, 0.0000, 0.0000).

As for the total energy: -5.478 eV/atom. The calculation puts the excess energy over the best structure of this formula in the dataset at 0.00 eV/f.u. Its formation energy from raw total energies is -1.132 eV/atom.

Entry 4:
Material: ScAgF4
Method: DFT, PBE-GGA
State: relaxed

The structure belongs to space group Cmmm (No. 65); the cell edges are 7.5557, 7.8965 and 3.2899 Å and the angles 90.00°, 90.00° and 90.00°. The distinct sites, in fractional coordinates, are Sc at (0.0000, 0.0000, 0.0000), Ag at (0.0000, 0.5000, 0.5000), F at (0.0000, 0.1637, 0.5000) and F at (0.2374, 0.5000, 0.0000).

As for the total energy: -5.700 eV/atom. The calculation puts the excess energy over the best structure of this formula in the dataset at 0.23 eV/f.u. Its formation energy from raw total energies is -2.922 eV/atom.

Entry 5:
Material: ScAgF4
Method: DFT, PBE-GGA
State: relaxed

The structure belongs to space group P2_1/c (No. 14); the cell edges are 6.1695, 5.2813 and 5.8348 Å and the angles 90.00°, 103.26° and 90.00°. The distinct sites, in fractional coordinates, are Sc at (0.0000, 0.0000, 0.0000), Ag at (0.5000, 0.0000, 0.5000), F at (0.0992, 0.2229, 0.7518) and F at (0.3053, 0.6473, 0.6037).

As for the total energy: -5.738 eV/atom. The calculation puts the excess energy over the best structure of this formula in the dataset at 0.00 eV/f.u. Its formation energy from raw total energies is -2.960 eV/atom.

Entry 6:
Material: ScAgF
Method: DFT, PBE-GGA
State: relaxed

The structure belongs to space group P-6m2 (No. 187); the cell edges are 3.6611, 3.6611 and 4.6143 Å and the angles 90.00°, 90.00° and 120.00°. The distinct sites, in fractional coordinates, are Sc at (0.0000, 0.0000, 0.0000), Ag at (0.3333, 0.6667, 0.5000) and F at (0.6667, 0.3333, 0.0000).

As for the total energy: -5.117 eV/atom. Its formation energy from raw total energies is -1.433 eV/atom.